Record 1
A plane-wave DFT calculation with PBE was carried out for Tb12Nd6Sm after structural relaxation.

Values from the calculation:
Formation energy = 0.2090 eV per atom
Energy relative to the lowest polymorph listed for this composition = 0.092 eV/atom

The structure in CIF format:
```
data_Tb12Nd6Sm
_chemical_formula_sum 'Tb36 Nd18 Sm3'
_symmetry_space_group_name_H-M 'R -3 m'
_symmetry_Int_Tables_number 166
_symmetry_space_group_name_Hall '-R 3 2"'
_cell_length_a 13.3478
_cell_length_b 13.3478
_cell_length_c 12.7029
_cell_angle_alpha 90.00
_cell_angle_beta 90.00
_cell_angle_gamma 120.00
loop_
_atom_site_label
_atom_site_type_symbol
_atom_site_fract_x
_atom_site_fract_y
_atom_site_fract_z
Tb1 Tb 0.0000 0.2575 0.0000
Tb2 Tb 0.0913 0.1826 0.7650
Nd1 Nd 0.0396 0.5198 0.1168
Sm1 Sm 0.0000 0.0000 0.5000
```

Record 2
A plane-wave DFT calculation with PBE was carried out for Tm2PaCo3 after structural relaxation.

Values from the calculation:
Formation energy = -0.2506 eV per atom
Energy relative to the lowest polymorph listed for this composition = 0.026 eV/atom

The structure in CIF format:
```
data_Tm2PaCo3
_chemical_formula_sum 'Tm8 Pa4 Co12'
_symmetry_space_group_name_H-M 'C m c m'
_symmetry_Int_Tables_number 63
_symmetry_space_group_name_Hall '-C 2c 2'
_cell_length_a 14.083
_cell_length_b 4.969
_cell_length_c 6.312
_cell_angle_alpha 90.00
_cell_angle_beta 90.00
_cell_angle_gamma 90.00
loop_
_atom_site_label
_atom_site_type_symbol
_atom_site_fract_x
_atom_site_fract_y
_atom_site_fract_z
Tm1 Tm 0.169 0.000 0.000
Pa1 Pa 0.000 0.364 0.250
Co1 Co 0.000 0.143 0.750
Co2 Co 0.159 0.497 0.750
```